{
  "formula": "NpUPd14",
  "functional": "PBE",
  "state": "optimized geometry",
  "space_group": "P4/mmm",
  "total_magnetization_mub_per_fu": 3.05,
  "final_energy_ev_per_atom": -6.349,
  "ef_ev_per_fu": -4.66,
  "cell": [[5.8076, 0.0000, 0.0000], [0.0000, 5.8076, 0.0000], [0.0000, 0.0000, 7.8110]],
  "species": ["Np", "U", "Pd", "Pd", "Pd", "Pd", "Pd", "Pd", "Pd", "Pd", "Pd", "Pd", "Pd", "Pd", "Pd", "Pd"],
  "frac_coords": [[0.0000, 0.0000, 0.0000], [0.5000, 0.5000, 0.0000], [0.0000, 0.0000, 0.5000], [0.0000, 0.5000, 0.0000], [0.0000, 0.5000, 0.5000], [0.2526, 0.2526, 0.2506], [0.2526, 0.2526, 0.7494], [0.2526, 0.7474, 0.2506], [0.2526, 0.7474, 0.7494], [0.5000, 0.0000, 0.0000], [0.5000, 0.0000, 0.5000], [0.5000, 0.5000, 0.5000], [0.7474, 0.2526, 0.2506], [0.7474, 0.2526, 0.7494], [0.7474, 0.7474, 0.2506], [0.7474, 0.7474, 0.7494]]
}